[1]
Compound: ZnTc2Ru
Source: the Alexandria database
Functional: PBE
Structure: optimized geometry

Values from the calculation:
Crystal system = orthorhombic
SG = Cmmm, No. 65
DOS at the Fermi energy = 3.64 states/eV/cell
DFT formation energy = 6.20 kcal/mol of atoms

Cell: 2.670 2.670 9.046 Å, 90.00 90.00 115.49°
Fractional coordinates of all 4 atoms:
Zn1 0.000 0.000 0.000
Tc1 0.500 0.500 0.253
Tc2 0.500 0.500 0.747
Ru1 0.000 0.000 0.500

[2]
Compound: Zn2TcRu
Source: the Alexandria database
Functional: PBE
Structure: optimized geometry

Values from the calculation:
Crystal system = orthorhombic
SG = Cmm2, No. 35
DOS at the Fermi energy = 2.89 states/eV/cell
DFT formation energy = 3.66 kcal/mol of atoms
ΔE to the lowest computed polymorph = 0.232 eV/atom

Cell: 2.703 2.703 8.918 Å, 90.00 90.00 116.15°
Fractional coordinates of all 4 atoms:
Zn1 0.000 0.000 0.000
Zn2 0.500 0.500 0.254
Tc1 0.500 0.500 0.744
Ru1 0.000 0.000 0.504

[3]
Compound: ZnTc4Ru
Source: the Alexandria database
Functional: PBE
Structure: optimized geometry

Values from the calculation:
Crystal system = cubic
SG = F-43m, No. 216
DOS at the Fermi energy = 3.61 states/eV/cell
DFT formation energy = 9.10 kcal/mol of atoms

Cell: 5.073 5.073 5.073 Å, 60.00 60.00 60.00°
Fractional coordinates of all 6 atoms:
Zn1 0.000 0.000 0.000
Tc1 0.374 0.374 0.374
Tc2 0.374 0.374 0.878
Tc3 0.374 0.878 0.374
Tc4 0.878 0.374 0.374
Ru1 0.750 0.750 0.750

[4]
Compound: Zn2TcRu
Source: the Alexandria database
Functional: PBE
Structure: optimized geometry

Values from the calculation:
Crystal system = tetragonal
SG = P4mm, No. 99
DOS at the Fermi energy = 2.61 states/eV/cell
DFT formation energy = -1.69 kcal/mol of atoms
ΔE to the lowest computed polymorph = 0.000 eV/atom

Cell: 2.865 2.865 6.939 Å, 90.00 90.00 90.00°
Fractional coordinates of all 4 atoms:
Zn1 0.000 0.000 0.000
Zn2 0.500 0.500 0.253
Tc1 0.500 0.500 0.739
Ru1 0.000 0.000 0.505

[5]
Compound: ZnTcRu2
Source: the Alexandria database
Functional: PBE
Structure: optimized geometry

Values from the calculation:
Crystal system = monoclinic
SG = C2/m, No. 12
DOS at the Fermi energy = 4.25 states/eV/cell
DFT formation energy = 2.67 kcal/mol of atoms

Cell: 4.677 4.677 4.700 Å, 99.51 99.51 33.93°
Fractional coordinates of all 4 atoms:
Zn1 0.000 0.000 0.000
Tc1 0.500 0.500 0.500
Ru1 0.245 0.245 0.748
Ru2 0.755 0.755 0.252

[6]
Compound: Zn2TcRu
Source: the Alexandria database
Functional: PBE
Structure: optimized geometry

Values from the calculation:
Crystal system = orthorhombic
SG = Pmmm, No. 47
DOS at the Fermi energy = 3.44 states/eV/cell
DFT formation energy = 3.71 kcal/mol of atoms
ΔE to the lowest computed polymorph = 0.234 eV/atom

Cell: 2.898 4.409 4.487 Å, 90.00 90.00 90.00°
Fractional coordinates of all 4 atoms:
Zn1 0.000 0.000 0.000
Zn2 0.500 0.000 0.500
Tc1 0.000 0.500 0.500
Ru1 0.500 0.500 0.000

[7]
Compound: ZnTcRu2
Source: the Alexandria database
Functional: PBE
Structure: optimized geometry

Values from the calculation:
Crystal system = orthorhombic
SG = Cmm2, No. 35
DOS at the Fermi energy = 5.03 states/eV/cell
DFT formation energy = 6.96 kcal/mol of atoms

Cell: 2.680 2.680 8.995 Å, 90.00 90.00 116.63°
Fractional coordinates of all 4 atoms:
Zn1 0.000 0.000 0.000
Tc1 0.500 0.500 0.256
Ru1 0.000 0.000 0.502
Ru2 0.500 0.500 0.753

[8]
Compound: Zn2TcRu
Source: the Alexandria database
Functional: PBE
Structure: optimized geometry

Values from the calculation:
Crystal system = trigonal
SG = R3m, No. 160
DOS at the Fermi energy = 3.77 states/eV/cell
DFT formation energy = 0.52 kcal/mol of atoms
ΔE to the lowest computed polymorph = 0.096 eV/atom

Cell: 9.116 9.116 9.116 Å, 17.32 17.32 17.32°
Fractional coordinates of all 4 atoms:
Zn1 0.000 0.000 0.000
Zn2 0.244 0.244 0.244
Tc1 0.493 0.493 0.493
Ru1 0.750 0.750 0.750